(1)
This record from Alexandria via LeMat-Bulk describes a geometry-optimized Cd2AgRh structure. The functional is PBE.

Properties
* energy relative to the elements: -0.09 eV/atom

a = 3.1258 Å, b = 3.1258 Å, c = 7.4203 Å
α = 90.00°, β = 90.00°, γ = 89.98°
Positions (direct):
1 Rh 0.5000 0.5000 0.2500
2 Ag 0.5000 0.5000 0.7500
3 Cd 0.0000 0.0000 0.0186
4 Cd 0.0000 0.0000 0.4814

=====

(2)
This record from Alexandria via LeMat-Bulk describes a geometry-optimized Tb9In3N2 structure. The functional is PBE.

Properties
* raw formation energy: -0.758 eV/atom

a = 6.8846 Å, b = 6.8846 Å, c = 8.4344 Å
α = 90.00°, β = 90.00°, γ = 120.00°
Positions (direct):
1 Tb 0.1703 0.8297 0.6714
2 Tb 0.1703 0.3407 0.6714
3 Tb 0.5000 0.5000 0.0000
4 Tb 0.8297 0.6593 0.3286
5 Tb 0.3407 0.1703 0.3286
6 Tb 0.6593 0.8297 0.6714
7 Tb 0.8297 0.1703 0.3286
8 Tb 0.0000 0.5000 0.0000
9 Tb 0.5000 0.0000 0.0000
10 In 0.6667 0.3333 0.6665
11 In 0.0000 0.0000 0.0000
12 In 0.3333 0.6667 0.3335
13 N 0.6667 0.3333 0.1665
14 N 0.3333 0.6667 0.8335

=====

(3)
This record from Alexandria via LeMat-Bulk describes a geometry-optimized TbZrAg structure. The functional is PBE.

Properties
* energy relative to the elements: -0.02 eV/atom

a = 5.0004 Å, b = 5.0004 Å, c = 6.5971 Å
α = 90.00°, β = 90.00°, γ = 120.00°
Positions (direct):
1 Tb 0.0000 0.0000 0.7520
2 Tb 0.0000 0.0000 0.2480
3 Ag 0.3333 0.6667 0.9619
4 Ag 0.6667 0.3333 0.0381
5 Zr 0.6667 0.3333 0.5129
6 Zr 0.3333 0.6667 0.4871

=====

Computed total magnetization (μB/f.u.) in order:
0.00; 0.00; 0.00